# 1
The following is a PBE calculation of crystalline TeClF at its relaxed geometry, from Alexandria.

Results
- formation energy (no corrections) (kJ/mol of formula units) = -235.4
- crystal system = monoclinic
- density of states at the Fermi level (states/eV/atom) = 0.00
- space group = Cm, No. 8
- spin magnetization (Bohr magnetons per cell) = 0.000
- energy (eV/atom) = -3.100

Cell and atoms, written as POSCAR:
```
TeClF
1.0
3.8305 0.1260 0.1802
-0.4864 4.7798 0.5985
-0.4864 -1.0774 4.6951
Te Cl F
1 1 1
Direct
0.5018 0.9207 0.9207
0.0489 0.6341 0.6341
0.1326 0.1211 0.1211
```

# 2
The following is a PBE calculation of crystalline Sr2LaBr at its relaxed geometry, from Alexandria.

Results
- formation energy (no corrections) (kJ/mol of formula units) = -116.6
- crystal system = tetragonal
- density of states at the Fermi level (states/eV/atom) = 1.03
- space group = P4/mmm, No. 123
- spin magnetization (Bohr magnetons per cell) = 0.004
- energy (eV/atom) = -2.793

Cell and atoms, written as POSCAR:
```
Sr2LaBr
1.0
3.9338 0.0000 0.0000
0.0000 6.5316 0.0000
0.0000 0.0000 6.5316
La Br Sr
1 1 2
Direct
0.5000 0.0000 0.5000
0.5000 0.5000 0.0000
0.0000 0.0000 0.0000
0.0000 0.5000 0.5000
```

# 3
The following is a PBE calculation of crystalline SiIr4 at its relaxed geometry, from Alexandria.

Results
- formation energy (no corrections) (kJ/mol of formula units) = 511.5
- crystal system = cubic
- density of states at the Fermi level (states/eV/atom) = 1.64
- space group = Pm-3m, No. 221
- spin magnetization (Bohr magnetons per cell) = 0.001
- energy (eV/atom) = -7.113

Cell and atoms, written as POSCAR:
```
SiIr4
1.0
-1.5521 -3.8552 -1.3443
-1.0285 -1.0227 4.1201
-3.9512 1.7806 -0.5444
Ir Si
4 1
Direct
0.5000 0.5000 0.0000
0.0000 0.5000 0.5000
0.5000 0.0000 0.5000
0.0000 0.0000 0.0000
0.5000 0.5000 0.5000
```